No. 1
YCdFe: optimized geometry, PBE.

The structure in POSCAR format:
```
YCdFe
1.0
4.6274 0.0000 0.0000
2.3137 4.0074 0.0000
2.3137 1.3358 3.7783
Fe Y Cd
1 1 1
Cartesian
6.9411 4.0074 2.8337
0.0000 0.0000 0.0000
4.6274 2.6716 1.8891
```

Output
DFT formation energy = 0.328 eV/atom
V = 70.1 Å³/f.u.
N(E_F) = 6.53 states/eV per cell

No. 2
ReAg2F6: optimized geometry, PBE.

The structure in POSCAR format:
```
ReAg2F6
1.0
5.3262 0.0000 0.0000
0.0000 5.3262 0.0000
0.0000 0.0000 10.8545
F Ag Re
12 4 2
Cartesian
3.6011 3.6011 1.4861
3.6011 3.6011 9.3684
1.7251 1.7251 9.3684
3.9213 3.9213 5.4273
1.4049 1.4049 5.4273
1.2582 4.0680 0.0000
4.0680 1.2582 0.0000
0.9380 4.3883 3.9412
4.3883 0.9380 3.9412
1.7251 1.7251 1.4861
4.3883 0.9380 6.9133
0.9380 4.3883 6.9133
0.0000 0.0000 1.7581
0.0000 0.0000 9.0964
2.6631 2.6631 7.1853
2.6631 2.6631 3.6692
2.6631 2.6631 0.0000
0.0000 0.0000 5.4273
```

Output
V = 154.0 Å³/f.u.
raw formation energy = -1.602 eV/atom
energy above the most stable polymorph in this dataset = 0.000 eV per atom

No. 3
InSbPd3: optimized geometry, PBE.

The structure in POSCAR format:
```
InSbPd3
1.0
4.9647 0.0000 0.0000
0.0000 4.9647 0.0000
0.0000 0.0000 4.9647
In Sb Pd
1 1 3
Cartesian
2.4824 2.4824 2.4824
0.0000 0.0000 0.0000
0.0000 2.4824 0.0000
2.4824 0.0000 0.0000
0.0000 0.0000 2.4824
```

Output
V = 122.4 Å³/f.u.
raw formation energy = 0.230 eV/atom
N(E_F) = 2.74 states/eV per cell
energy above the most stable polymorph in this dataset = 0.599 eV per atom

> Which value of V does entry 1 give?

70.1 Å³/f.u.

> Among the records above, which one has the highest V?

ReAg2F6